Record 1
This record from Alexandria via LeMat-Bulk describes a relaxed structure of Sc2Cd5Hg. The functional is PBE-GGA.

extended XYZ file:
```
16
Lattice="6.416 0.000 0.000 0.000 12.815 0.000 0.000 0.000 4.268" Properties=species:S:1:pos:R:3 pbc="T T T"
Sc 1.513 1.561 0.000
Sc 1.695 7.969 0.000
Sc 4.721 4.847 0.000
Sc 4.903 11.254 0.000
Cd 0.000 6.408 2.134
Cd 0.089 9.583 2.134
Cd 1.528 4.762 0.000
Cd 1.680 11.169 0.000
Cd 3.119 3.176 2.134
Cd 3.208 0.000 2.134
Cd 3.297 9.640 2.134
Cd 4.736 1.646 0.000
Cd 4.888 8.054 0.000
Cd 6.326 3.232 2.134
Hg 0.000 0.000 2.134
Hg 3.208 6.408 2.134
```

* ΔH_f (0 K): -213 meV per atom
* distance to the lowest polymorph of the same formula: 0.0 meV/atom


Record 2
This record from Alexandria via LeMat-Bulk describes a relaxed structure of Hf3FeRh2. The functional is PBE-GGA.

extended XYZ file:
```
6
Lattice="3.237 0.000 0.000 0.000 3.237 0.000 0.000 0.000 9.661" Properties=species:S:1:pos:R:3 pbc="T T T"
Hf 0.000 0.000 0.000
Hf 0.000 0.000 3.299
Hf 0.000 0.000 6.362
Fe 1.619 1.619 4.830
Rh 1.619 1.619 1.608
Rh 1.619 1.619 8.053
```

* ΔH_f (0 K): -693 meV per atom


Record 3
This record from Alexandria via LeMat-Bulk describes a relaxed structure of Ac2TmP2N6. The functional is PBE-GGA.

extended XYZ file:
```
11
Lattice="2.850 1.645 5.905 -2.850 1.645 5.905 0.000 -3.291 5.905" Properties=species:S:1:pos:R:3 pbc="T T T"
Ac 0.000 0.000 3.809
Ac 0.000 0.000 13.906
Tm 0.000 0.000 0.000
P 0.000 0.000 7.254
P 0.000 0.000 10.461
N -1.375 -0.794 10.241
N 0.000 -1.588 7.474
N -1.375 0.794 7.474
N 1.375 -0.794 10.241
N 0.000 1.588 10.241
N 1.375 0.794 7.474
```


no.,total energy (eV/atom),V (A^3/atom)
1,-2.41,21.932
2,-9.53,16.873
3,-7.74,15.105